Entry i
Here is CsBa3Ga after structural relaxation from Alexandria. Energies are from GGA-PBE.

Computed properties:
* total moment: 0.00 μB/f.u.
* symmetry: Pm-3m

```
CsBa3Ga
1.0
6.483 0.000 0.000
0.000 6.483 0.000
0.000 0.000 6.483
Cs Ba Ga
1 3 1
Direct
0.000 0.000 0.000
0.000 0.500 0.000
0.000 0.000 0.500
0.500 0.000 0.000
0.500 0.500 0.500
```

---

Entry ii
Here is CsBa3Ga after structural relaxation from Alexandria. Energies are from GGA-PBE.

Computed properties:
* total moment: 0.00 μB/f.u.
* symmetry: Pm-3m

```
CsBa3Ga
1.0
-3.830 5.305 1.833
-5.342 -4.127 0.783
1.725 -1.000 6.497
Cs Ba Ga
1 3 1
Direct
0.500 0.500 0.500
0.000 0.500 0.000
0.000 0.000 0.500
0.500 0.000 0.000
0.000 0.000 0.000
```

---

We find entry ii to be the most stable, with the next structure 0.814 eV/atom higher.

---

Entry i
Here is CsBa2GaPd after structural relaxation from Alexandria. Energies are from GGA-PBE.

Computed properties:
* total moment: 0.00 μB/f.u.
* symmetry: P4/mmm

```
CsBa2GaPd
1.0
6.485 0.000 0.000
0.000 5.502 0.000
0.000 0.000 6.485
Cs Ga Ba Pd
1 1 2 1
Direct
0.000 0.000 0.000
0.000 0.500 0.000
0.000 0.000 0.500
0.500 0.000 0.000
0.500 0.500 0.500
```

---

Entry ii
Here is CsBa2GaPd after structural relaxation from Alexandria. Energies are from GGA-PBE.

Computed properties:
* total moment: 0.00 μB/f.u.
* symmetry: P4/mmm

```
CsBa2GaPd
1.0
6.343 0.000 0.000
0.000 6.343 0.000
0.000 0.000 5.125
Cs Ga Ba Pd
1 1 2 1
Direct
0.500 0.500 0.500
0.000 0.000 0.500
0.000 0.500 0.000
0.500 0.000 0.000
0.000 0.000 0.000
```

---

We find entry ii to be the most stable, with the next structure 1.142 eV/atom higher.

---

Entry i
Here is CsBa2Ge2 after structural relaxation from Alexandria. Energies are from GGA-PBE.

Computed properties:
* total moment: 0.00 μB/f.u.
* symmetry: I4/mmm

```
CsBa2Ge2
1.0
5.925 0.000 0.000
0.000 5.925 0.000
2.962 2.962 6.751
Cs Ge Ba
1 2 2
Direct
0.000 0.000 0.000
0.750 0.250 0.500
0.250 0.750 0.500
0.344 0.344 0.313
0.656 0.656 0.687
```

---

Entry ii
Here is CsBa2Ge2 after structural relaxation from Alexandria. Energies are from GGA-PBE.

Computed properties:
* total moment: 0.00 μB/f.u.
* symmetry: P4/mbm

```
CsBa2Ge2
1.0
9.085 0.000 0.000
0.000 9.085 0.000
0.000 0.000 4.868
Cs Ge Ba
2 4 4
Direct
0.000 0.000 0.000
0.500 0.500 0.000
0.403 0.903 0.000
0.903 0.597 0.000
0.597 0.097 0.000
0.097 0.403 0.000
0.169 0.669 0.500
0.669 0.831 0.500
0.831 0.331 0.500
0.331 0.169 0.500
```

---

Entry iii
Here is CsBa2Ge2 after structural relaxation from Alexandria. Energies are from GGA-PBE.

Computed properties:
* total moment: 0.00 μB/f.u.
* symmetry: P4/mbm

```
CsBa2Ge2
1.0
10.164 0.000 0.000
0.000 10.164 0.000
0.000 0.000 3.640
Cs Ge Ba
2 4 4
Direct
0.000 0.000 0.000
0.500 0.500 0.000
0.167 0.667 0.500
0.667 0.833 0.500
0.833 0.333 0.500
0.333 0.167 0.500
0.370 0.870 0.000
0.870 0.630 0.000
0.630 0.130 0.000
0.130 0.370 0.000
```

---

Entry iv
Here is CsBa2Ge2 after structural relaxation from Alexandria. Energies are from GGA-PBE.

Computed properties:
* total moment: 0.00 μB/f.u.
* symmetry: I4/mmm

```
CsBa2Ge2
1.0
-5.315 1.729 1.734
-2.434 -3.284 -4.187
-4.149 -5.471 2.614
Cs Ge Ba
1 2 2
Direct
0.000 0.000 0.000
0.397 0.397 0.205
0.603 0.603 0.795
0.750 0.250 0.500
0.250 0.750 0.500
```

---

We find entry ii to be the most stable, with the next structure 0.071 eV/atom higher.

---

Entry i
Here is CsBaGe3 after structural relaxation from Alexandria. Energies are from GGA-PBE.

Computed properties:
* total moment: 0.00 μB/f.u.
* symmetry: Pm-3m

```
CsBaGe3
1.0
-3.648 -3.417 -3.458
3.759 -4.724 0.702
-3.082 -1.718 4.949
Cs Ge Ba
1 3 1
Direct
0.500 0.500 0.500
0.000 0.500 0.000
0.000 0.000 0.500
0.500 0.000 0.000
0.000 0.000 0.000
```

---

Entry ii
Here is CsBaGe3 after structural relaxation from Alexandria. Energies are from GGA-PBE.

Computed properties:
* total moment: 0.00 μB/f.u.
* symmetry: Pm-3m

```
CsBaGe3
1.0
5.812 0.000 0.000
0.000 5.812 0.000
0.000 0.000 5.812
Cs Ge Ba
1 3 1
Direct
0.000 0.000 0.000
0.000 0.500 0.000
0.000 0.000 0.500
0.500 0.000 0.000
0.500 0.500 0.500
```

---

We find entry i to be the most stable, with the next structure 0.245 eV/atom higher.

---

Entry i
Here is CsBa3Ge after structural relaxation from Alexandria. Energies are from GGA-PBE.

Computed properties:
* total moment: 0.00 μB/f.u.
* symmetry: Pm-3m

```
CsBa3Ge
1.0
-1.278 5.284 3.289
-2.900 -3.477 4.458
5.507 -0.605 3.111
Cs Ge Ba
1 1 3
Direct
0.000 0.000 0.000
0.500 0.500 0.500
0.000 0.500 0.000
0.000 0.000 0.500
0.500 0.000 0.000
```

---

Entry ii
Here is CsBa3Ge after structural relaxation from Alexandria. Energies are from GGA-PBE.

Computed properties:
* total moment: 0.00 μB/f.u.
* symmetry: Pm-3m

```
CsBa3Ge
1.0
-0.374 6.174 2.663
0.077 -2.663 6.184
6.723 0.374 0.077
Cs Ge Ba
1 1 3
Direct
0.500 0.500 0.500
0.000 0.000 0.000
0.000 0.500 0.000
0.000 0.000 0.500
0.500 0.000 0.000
```

---

We find entry ii to be the most stable, with the next structure 0.994 eV/atom higher.

---

Entry i
Here is CsBaGe4 after structural relaxation from Alexandria. Energies are from GGA-PBE.

Computed properties:
* total moment: 0.00 μB/f.u.
* symmetry: F-43m

```
CsBaGe4
1.0
-2.698 -5.678 -0.996
2.361 -3.912 -4.431
3.037 -5.316 1.741
Cs Ge Ba
1 4 1
Direct
0.250 0.250 0.250
0.645 0.645 0.064
0.645 0.064 0.645
0.645 0.645 0.645
0.064 0.645 0.645
0.000 0.000 0.000
```

---

Entry ii
Here is CsBaGe4 after structural relaxation from Alexandria. Energies are from GGA-PBE.

Computed properties:
* total moment: 0.00 μB/f.u.
* symmetry: Pbam

```
CsBaGe4
1.0
5.624 0.000 0.000
0.000 8.922 0.000
0.000 0.000 15.662
Cs Ba Ge
4 4 16
Direct
0.000 0.638 0.088
0.000 0.362 0.912
0.000 0.138 0.412
0.000 0.862 0.588
0.000 0.633 0.353
0.000 0.367 0.647
0.000 0.133 0.147
0.000 0.867 0.853
0.500 0.802 0.187
0.500 0.198 0.813
0.500 0.302 0.313
0.500 0.698 0.687
0.500 0.866 0.024
0.500 0.134 0.976
0.500 0.366 0.476
0.500 0.634 0.524
0.500 0.888 0.443
0.500 0.112 0.557
0.500 0.388 0.057
0.500 0.612 0.943
0.500 0.005 0.295
0.500 0.995 0.705
0.500 0.505 0.205
0.500 0.495 0.795
```

---

We find entry i to be the most stable, with the next structure 0.057 eV/atom higher.

---

Entry i
Here is Cs2BaGe after structural relaxation from Alexandria. Energies are from GGA-PBE.

Computed properties:
* total moment: 0.00 μB/f.u.
* symmetry: I-42d

```
Cs2BaGe
1.0
-0.828 3.665 3.573
-2.574 -3.427 2.919
10.273 -3.421 9.650
Cs Ge Ba
4 2 2
Direct
0.618 0.125 0.250
0.132 0.625 0.250
0.375 0.382 0.750
0.875 0.868 0.750
0.500 0.500 0.000
0.250 0.750 0.500
0.000 0.000 0.000
0.750 0.250 0.500
```

---

Entry ii
Here is Cs2BaGe after structural relaxation from Alexandria. Energies are from GGA-PBE.

Computed properties:
* total moment: 0.00 μB/f.u.
* symmetry: Fm-3m

```
Cs2BaGe
1.0
0.000 4.460 4.460
4.460 0.000 4.460
4.460 4.460 0.000
Cs Ge Ba
2 1 1
Direct
0.250 0.250 0.250
0.750 0.750 0.750
0.000 0.000 0.000
0.500 0.500 0.500
```

---

We find entry i to be the most stable, with the next structure 0.060 eV/atom higher.

---

Entry i
Here is Cs2BaGeI6 after structural relaxation from Alexandria. Energies are from GGA-PBE.

Computed properties:
* total moment: 0.00 μB/f.u.
* symmetry: P2_1/c

```
Cs2BaGeI6
1.0
-2.942 6.487 5.093
-8.384 -1.249 -3.252
-2.296 -8.391 9.141
Cs Ba Ge I
4 2 2 12
Direct
0.020 0.933 0.247
0.520 0.567 0.747
0.980 0.067 0.753
0.480 0.433 0.253
0.500 0.000 0.000
0.000 0.500 0.500
0.500 0.000 0.500
0.000 0.500 0.000
0.283 0.687 0.041
0.783 0.813 0.541
0.717 0.313 0.959
0.217 0.187 0.459
0.316 0.719 0.458
0.816 0.781 0.958
0.684 0.281 0.542
0.184 0.219 0.042
0.919 0.513 0.233
0.419 0.987 0.733
0.081 0.487 0.767
0.581 0.013 0.267
```

---

Entry ii
Here is Cs2BaGeI6 after structural relaxation from Alexandria. Energies are from GGA-PBE.

Computed properties:
* total moment: 0.00 μB/f.u.
* symmetry: Fm-3m

```
Cs2BaGeI6
1.0
-6.523 0.521 6.206
-4.014 -7.222 -3.613
-1.901 -7.153 5.155
Cs I Ge Ba
2 6 1 1
Direct
0.750 0.250 0.500
0.250 0.750 0.500
0.265 0.265 0.470
0.735 0.735 0.530
0.265 0.265 0.000
0.735 0.735 0.000
0.735 0.265 0.000
0.265 0.735 0.000
0.500 0.500 0.000
0.000 0.000 0.000
```

---

We find entry i to be the most stable, with the next structure 0.024 eV/atom higher.

---

Entry i
Here is CsBaH2 after structural relaxation from Alexandria. Energies are from GGA-PBE.

Computed properties:
* total moment: 0.00 μB/f.u.
* symmetry: Fm-3m

```
CsBaH2
1.0
0.000 3.628 3.628
3.628 0.000 3.628
3.628 3.628 0.000
Cs H Ba
1 2 1
Direct
0.000 0.000 0.000
0.250 0.250 0.250
0.750 0.750 0.750
0.500 0.500 0.500
```

---

Entry ii
Here is CsBaH2 after structural relaxation from Alexandria. Energies are from GGA-PBE.

Computed properties:
* total moment: 0.00 μB/f.u.
* symmetry: R-3m

```
CsBaH2
1.0
4.447 0.000 0.000
2.224 3.851 0.000
2.224 1.284 8.178
Cs H Ba
1 2 1
Direct
0.000 0.000 0.000
0.126 0.126 0.622
0.874 0.874 0.378
0.500 0.500 0.500
```

---

We find entry ii to be the most stable, with the next structure 0.283 eV/atom higher.

---

Entry i
Here is Cs2BaH2 after structural relaxation from Alexandria. Energies are from GGA-PBE.

Computed properties:
* total moment: 0.00 μB/f.u.
* symmetry: P4/mbm

```
Cs2BaH2
1.0
-2.591 8.083 0.365
-6.761 -1.953 -4.760
-2.824 -1.107 4.464
Cs H Ba
4 4 2
Direct
0.155 0.655 0.500
0.655 0.845 0.500
0.845 0.345 0.500
0.345 0.155 0.500
0.287 0.787 0.000
0.787 0.713 0.000
0.713 0.213 0.000
0.213 0.287 0.000
0.000 0.000 0.000
0.500 0.500 0.000
```

---

Entry ii
Here is Cs2BaH2 after structural relaxation from Alexandria. Energies are from GGA-PBE.

Computed properties:
* total moment: 0.00 μB/f.u.
* symmetry: I4/mmm

```
Cs2BaH2
1.0
-1.341 -8.542 -0.244
-7.380 -4.081 1.924
3.232 6.595 -4.570
Cs Ba H
2 1 2
Direct
0.680 0.680 0.000
0.320 0.320 0.000
0.000 0.000 0.000
0.750 0.250 0.500
0.250 0.750 0.500
```

---

We find entry i to be the most stable, with the next structure 0.107 eV/atom higher.

---

Entry i
Here is CsBaHg3 after structural relaxation from Alexandria. Energies are from GGA-PBE.

Computed properties:
* total moment: 0.00 μB/f.u.
* symmetry: Pm-3m

```
CsBaHg3
1.0
6.570 0.000 0.000
0.000 6.570 0.000
0.000 0.000 6.570
Cs Hg Ba
1 3 1
Direct
0.500 0.500 0.500
0.000 0.500 0.000
0.000 0.000 0.500
0.500 0.000 0.000
0.000 0.000 0.000
```

---

Entry ii
Here is CsBaHg3 after structural relaxation from Alexandria. Energies are from GGA-PBE.

Computed properties:
* total moment: 0.00 μB/f.u.
* symmetry: Cmcm

```
CsBaHg3
1.0
10.054 6.045 12.416
-10.990 -9.285 -9.210
3.881 -2.855 -1.753
Cs Ba Hg
2 2 6
Direct
0.796 0.204 0.250
0.204 0.796 0.750
0.064 0.936 0.250
0.936 0.064 0.750
0.389 0.611 0.250
0.611 0.389 0.750
0.478 0.522 0.250
0.522 0.478 0.750
0.341 0.659 0.750
0.659 0.341 0.250
```

---

Entry iii
Here is CsBaHg3 after structural relaxation from Alexandria. Energies are from GGA-PBE.

Computed properties:
* total moment: 0.00 μB/f.u.
* symmetry: Pm-3m

```
CsBaHg3
1.0
-2.275 -0.226 -6.016
-0.343 -6.416 0.370
-6.010 0.451 2.256
Cs Hg Ba
1 3 1
Direct
0.000 0.000 0.000
0.000 0.500 0.000
0.000 0.000 0.500
0.500 0.000 0.000
0.500 0.500 0.500
```

---

We find entry ii to be the most stable, with the next structure 0.265 eV/atom higher.